DFT (GGA-PBE) results for a relaxed BeTl2CdSb crystal.

Computed properties:
The value obtained for the energy relative to the elements, uncorrected is 3.3 eV per formula unit. Its crystal system is tetragonal. The density of states at the Fermi level comes out at 3.3 states/eV per cell. The total energy comes out at -2.041 eV/atom.

abc: 5.705 5.705 4.599
angles: 90.00 90.00 90.00
Space group P4/mmm (No. 123)
Unique sites:
Be: 0.000 0.000 0.000 [1 per cell]
Tl: 0.000 0.500 0.500 [2 per cell]
Cd: 0.000 0.000 0.500 [1 per cell]
Sb: 0.500 0.500 0.000 [1 per cell]